1.
Entry from Alexandria via LeMat-Bulk: a relaxed structure of TaHg2Pb (PBE-GGA).

Structure (POSCAR):
```
TaHg2Pb
1.0
10.479 0.025 0.015
9.975 3.210 0.015
9.975 1.578 2.796
Hg Pb Ta
2 1 1
Cartesian
0.270 0.043 0.025
14.945 2.364 1.388
7.607 1.203 0.706
22.822 3.610 2.119
```

Results
The calculation puts the electronic total energy at -3.67 eV per atom. The value obtained for the formation enthalpy at 0 K is 0.37 eV/atom. The crystal system is trigonal. Its space group is No. 166.

---

2.
Entry from Alexandria via LeMat-Bulk: a relaxed structure of BaMgMnS2 (PBE-GGA).

Structure (POSCAR):
```
BaMgMnS2
1.0
4.649 0.000 0.000
0.000 5.358 0.000
0.000 0.000 4.649
Mg S Mn Ba
1 2 1 1
Cartesian
2.324 2.679 2.324
0.000 0.000 2.324
2.324 0.000 0.000
0.000 0.000 0.000
0.000 2.679 0.000
```

Results
The calculation puts the electronic total energy at -4.27 eV per atom. The crystal system is tetragonal. Its space group is No. 123. For the uncorrected formation energy, the calculation gives -0.42 eV/f.u.

---

3.
Entry from Alexandria via LeMat-Bulk: a relaxed structure of NaTiAl (PBE-GGA).

Structure (POSCAR):
```
NaTiAl
1.0
-2.501 -0.181 4.312
-0.123 -2.934 -0.194
8.074 1.002 2.130
Na Al Ti
2 2 2
Cartesian
-1.813 -0.879 3.244
7.264 -1.234 3.005
0.787 -2.503 3.908
4.664 0.390 2.340
3.222 -1.159 4.345
2.228 -0.953 1.903
```

Results
The calculation puts the electronic total energy at -4.26 eV per atom. The value obtained for the formation enthalpy at 0 K is 0.06 eV/atom. The crystal system is triclinic. Its space group is No. 2. The calculation puts the offset from the most stable computed form at 0.101 eV per atom.